1.
# ScCuPb3 (PBEsol, relaxed)
# - space group = Pm-3m, No. 221
# - formation energy (eV/f.u.) = 4.0
data_ScCuPb3
_symmetry_space_group_name_H-M 'P 1'
_symmetry_Int_Tables_number 1
_cell_length_a 5.506
_cell_length_b 5.506
_cell_length_c 5.506
_cell_angle_alpha 90.00
_cell_angle_beta 90.00
_cell_angle_gamma 90.00
loop_
_symmetry_equiv_pos_as_xyz
'x,y,z'
loop_
_atom_site_label
_atom_site_fract_x
_atom_site_fract_y
_atom_site_fract_z
Pb1 0.000 0.000 0.500
Pb2 0.500 0.000 0.000
Pb3 0.000 0.500 0.000
Sc1 0.000 0.000 0.000
Cu1 0.500 0.500 0.500

---

2.
# ScZnCu2Pb (PBEsol, relaxed)
# - space group = P4/mmm, No. 123
# - formation energy (eV/f.u.) = 4.1
data_ScZnCu2Pb
_symmetry_space_group_name_H-M 'P 1'
_symmetry_Int_Tables_number 1
_cell_length_a 4.744
_cell_length_b 4.744
_cell_length_c 5.064
_cell_angle_alpha 90.00
_cell_angle_beta 90.00
_cell_angle_gamma 90.00
loop_
_symmetry_equiv_pos_as_xyz
'x,y,z'
loop_
_atom_site_label
_atom_site_fract_x
_atom_site_fract_y
_atom_site_fract_z
Cu1 0.500 0.000 0.000
Cu2 0.000 0.500 0.000
Pb1 0.000 0.000 0.000
Zn1 0.000 0.000 0.500
Sc1 0.500 0.500 0.500

---

3.
# ScZnCuPb2 (PBEsol, relaxed)
# - space group = P4/mmm, No. 123
# - formation energy (eV/f.u.) = 1.3
data_ScZnCuPb2
_symmetry_space_group_name_H-M 'P 1'
_symmetry_Int_Tables_number 1
_cell_length_a 4.502
_cell_length_b 5.128
_cell_length_c 5.128
_cell_angle_alpha 90.00
_cell_angle_beta 90.00
_cell_angle_gamma 90.00
loop_
_symmetry_equiv_pos_as_xyz
'x,y,z'
loop_
_atom_site_label
_atom_site_fract_x
_atom_site_fract_y
_atom_site_fract_z
Cu1 0.000 0.000 0.000
Zn1 0.500 0.000 0.000
Sc1 0.500 0.500 0.500
Pb1 0.000 0.500 0.000
Pb2 0.000 0.000 0.500

---

4.
# CuPb2Se (PBEsol, relaxed)
# - space group = P4mm, No. 99
# - ΔE_f (raw) (eV per atom) = 0.04
data_CuPb2Se
_symmetry_space_group_name_H-M 'P 1'
_symmetry_Int_Tables_number 1
_cell_length_a 3.462
_cell_length_b 3.462
_cell_length_c 8.236
_cell_angle_alpha 90.00
_cell_angle_beta 90.00
_cell_angle_gamma 90.00
loop_
_symmetry_equiv_pos_as_xyz
'x,y,z'
loop_
_atom_site_label
_atom_site_fract_x
_atom_site_fract_y
_atom_site_fract_z
Pb1 0.000 0.000 0.982
Pb2 0.500 0.500 0.277
Cu1 0.500 0.500 0.619
Se1 0.000 0.000 0.622

---

5.
# CuPb2Se (PBEsol, relaxed)
# - space group = Immm, No. 71
# - ΔE_f (raw) (eV per atom) = 0.18
data_CuPb2Se
_symmetry_space_group_name_H-M 'P 1'
_symmetry_Int_Tables_number 1
_cell_length_a 4.289
_cell_length_b 5.344
_cell_length_c 5.344
_cell_angle_alpha 59.84
_cell_angle_beta 66.34
_cell_angle_gamma 66.34
loop_
_symmetry_equiv_pos_as_xyz
'x,y,z'
loop_
_atom_site_label
_atom_site_fract_x
_atom_site_fract_y
_atom_site_fract_z
Pb1 0.777 0.223 0.223
Pb2 0.223 0.777 0.777
Cu1 0.500 0.000 0.000
Se1 0.000 0.500 0.500

---

6.
# CuPb2Se (PBEsol, relaxed)
# - space group = Pm, No. 6
# - ΔE_f (raw) (eV per atom) = -0.04
data_CuPb2Se
_symmetry_space_group_name_H-M 'P 1'
_symmetry_Int_Tables_number 1
_cell_length_a 3.749
_cell_length_b 4.928
_cell_length_c 5.761
_cell_angle_alpha 117.10
_cell_angle_beta 90.00
_cell_angle_gamma 90.00
loop_
_symmetry_equiv_pos_as_xyz
'x,y,z'
loop_
_atom_site_label
_atom_site_fract_x
_atom_site_fract_y
_atom_site_fract_z
Cu1 0.500 0.443 0.744
Pb1 0.000 0.905 0.945
Pb2 0.500 0.546 0.285
Se1 0.000 0.106 0.526

---

7.
# Cu3PbSe (PBEsol, relaxed)
# - space group = Pm-3m, No. 221
# - ΔE_f (raw) (eV per atom) = 0.47
data_Cu3PbSe
_symmetry_space_group_name_H-M 'P 1'
_symmetry_Int_Tables_number 1
_cell_length_a 4.595
_cell_length_b 4.595
_cell_length_c 4.595
_cell_angle_alpha 90.00
_cell_angle_beta 90.00
_cell_angle_gamma 90.00
loop_
_symmetry_equiv_pos_as_xyz
'x,y,z'
loop_
_atom_site_label
_atom_site_fract_x
_atom_site_fract_y
_atom_site_fract_z
Cu1 0.000 0.000 0.500
Cu2 0.500 0.000 0.000
Cu3 0.000 0.500 0.000
Se1 0.000 0.000 0.000
Pb1 0.500 0.500 0.500

---

8.
# CuPbSe (PBEsol, relaxed)
# - space group = F-43m, No. 216
# - ΔE_f (raw) (eV per atom) = 0.31
data_CuPbSe
_symmetry_space_group_name_H-M 'P 1'
_symmetry_Int_Tables_number 1
_cell_length_a 4.711
_cell_length_b 4.711
_cell_length_c 4.711
_cell_angle_alpha 60.00
_cell_angle_beta 60.00
_cell_angle_gamma 60.00
loop_
_symmetry_equiv_pos_as_xyz
'x,y,z'
loop_
_atom_site_label
_atom_site_fract_x
_atom_site_fract_y
_atom_site_fract_z
Cu1 0.000 0.000 0.000
Pb1 0.500 0.500 0.500
Se1 0.250 0.250 0.250

---

9.
# CuPb2Se (PBEsol, relaxed)
# - space group = Cmmm, No. 65
# - ΔE_f (raw) (eV per atom) = 0.11
data_CuPb2Se
_symmetry_space_group_name_H-M 'P 1'
_symmetry_Int_Tables_number 1
_cell_length_a 3.607
_cell_length_b 5.066
_cell_length_c 5.066
_cell_angle_alpha 96.32
_cell_angle_beta 90.00
_cell_angle_gamma 90.00
loop_
_symmetry_equiv_pos_as_xyz
'x,y,z'
loop_
_atom_site_label
_atom_site_fract_x
_atom_site_fract_y
_atom_site_fract_z
Se1 0.500 0.000 0.000
Cu1 0.500 0.500 0.500
Pb1 0.000 0.000 0.500
Pb2 0.000 0.500 0.000

---

10.
# TbCuPbSe3 (PBEsol, relaxed)
# - space group = Pnma, No. 62
# - ΔE_f (raw) (eV per atom) = -1.01
data_TbCuPbSe3
_symmetry_space_group_name_H-M 'P 1'
_symmetry_Int_Tables_number 1
_cell_length_a 4.000
_cell_length_b 10.491
_cell_length_c 13.410
_cell_angle_alpha 90.00
_cell_angle_beta 90.00
_cell_angle_gamma 90.00
loop_
_symmetry_equiv_pos_as_xyz
'x,y,z'
loop_
_atom_site_label
_atom_site_fract_x
_atom_site_fract_y
_atom_site_fract_z
Se1 0.250 0.089 0.896
Se2 0.250 0.453 0.887
Se3 0.750 0.911 0.104
Se4 0.250 0.589 0.604
Se5 0.250 0.233 0.170
Se6 0.750 0.767 0.830
Se7 0.250 0.733 0.330
Se8 0.750 0.047 0.387
Se9 0.750 0.411 0.396
Se10 0.750 0.267 0.670
Se11 0.750 0.547 0.113
Se12 0.250 0.953 0.613
Cu1 0.750 0.235 0.279
Cu2 0.250 0.265 0.779
Cu3 0.250 0.765 0.721
Cu4 0.750 0.735 0.221
Pb1 0.250 0.723 0.006
Pb2 0.750 0.277 0.994
Pb3 0.750 0.777 0.506
Pb4 0.250 0.223 0.494
Tb1 0.750 0.021 0.757
Tb2 0.250 0.479 0.257
Tb3 0.250 0.979 0.243
Tb4 0.750 0.521 0.743

---

11.
# CuSiPb2 (PBEsol, relaxed)
# - space group = Pmmm, No. 47
# - ΔE_f (raw) (eV per atom) = 0.47
data_CuSiPb2
_symmetry_space_group_name_H-M 'P 1'
_symmetry_Int_Tables_number 1
_cell_length_a 3.792
_cell_length_b 4.431
_cell_length_c 5.146
_cell_angle_alpha 90.00
_cell_angle_beta 90.00
_cell_angle_gamma 90.00
loop_
_symmetry_equiv_pos_as_xyz
'x,y,z'
loop_
_atom_site_label
_atom_site_fract_x
_atom_site_fract_y
_atom_site_fract_z
Cu1 0.500 0.000 0.500
Pb1 0.000 0.500 0.500
Pb2 0.000 0.000 0.000
Si1 0.500 0.500 0.000

---

12.
# CuSi2Pb (PBEsol, relaxed)
# - space group = I4/mmm, No. 139
# - ΔE_f (raw) (eV per atom) = 0.51
data_CuSi2Pb
_symmetry_space_group_name_H-M 'P 1'
_symmetry_Int_Tables_number 1
_cell_length_a 3.773
_cell_length_b 3.773
_cell_length_c 5.712
_cell_angle_alpha 109.28
_cell_angle_beta 109.28
_cell_angle_gamma 90.00
loop_
_symmetry_equiv_pos_as_xyz
'x,y,z'
loop_
_atom_site_label
_atom_site_fract_x
_atom_site_fract_y
_atom_site_fract_z
Si1 0.750 0.250 0.500
Si2 0.250 0.750 0.500
Cu1 0.500 0.500 0.000
Pb1 0.000 0.000 0.000